This record from Alexandria describes an optimized crystal structure of Ho3Mn2Sn7. The functional is PBE.

Geometry as POSCAR:
```
Ho3Mn2Sn7
1.0
-2.877 0.272 3.630
0.761 -4.547 0.944
10.454 1.023 8.208
Sn Ho Mn
7 3 2
direct
0.000 0.000 0.000
0.500 0.093 0.816
0.500 0.907 0.184
0.500 0.283 0.434
0.000 0.591 0.820
0.000 0.409 0.180
0.500 0.717 0.566
0.000 0.814 0.371
0.000 0.186 0.629
0.500 0.500 0.000
0.500 0.377 0.244
0.500 0.623 0.756
```

Summary:
**Space-group type**: P2/m, No. 10
**Calculated density**: 8.32 g cm⁻³
**Calculated total energy**: -63.22 eV for the cell shown
**E_form**: -261 meV per atom
**Spin magnetization**: 0.00 μB per formula unit

This record from Alexandria describes an optimized crystal structure of Ho3Mn2Sn3. The functional is PBE.

Geometry as POSCAR:
```
Ho3Mn2Sn3
1.0
4.082 0.002 0.000
0.003 5.265 -0.341
-2.043 -1.269 8.651
Ho Mn Sn
3 2 3
direct
0.836 0.431 0.671
0.000 0.000 0.000
0.164 0.569 0.329
0.231 0.070 0.460
0.769 0.930 0.540
0.365 0.938 0.731
0.500 0.500 0.000
0.635 0.062 0.269
```

Summary:
**Space-group type**: P-1, No. 2
**Calculated density**: 8.66 g cm⁻³
**Calculated total energy**: -46.47 eV for the cell shown
**E_form**: -299 meV per atom
**Spin magnetization**: 0.00 μB per formula unit

This record from Alexandria describes an optimized crystal structure of HoTaMn4. The functional is PBE.

Geometry as POSCAR:
```
HoTaMn4
1.0
4.959 0.000 0.000
2.480 4.295 0.000
2.480 1.432 4.049
Mn Ta Ho
4 1 1
direct
0.624 0.624 0.624
0.127 0.624 0.624
0.624 0.624 0.127
0.624 0.127 0.624
0.250 0.250 0.250
0.000 0.000 0.000
```

Summary:
**Space-group type**: F-43m, No. 216
**Calculated density**: 10.89 g cm⁻³
**Calculated total energy**: -53.03 eV for the cell shown
**E_form**: 13 meV per atom
**Spin magnetization**: 3.10 μB per formula unit

Question: Which of these has the highest calculated total energy?
Answer: Ho3Mn2Sn3